No. 1
# CaTlHCl2 | the Alexandria database | PBE-GGA | relaxed
# Relative energy among the computed polymorphs: 588.0 meV per atom
# Raw total energy: -2.94 eV/atom
data_CaTlHCl2
_chemical_formula_sum 'Ca1 Tl1 H1 Cl2'
_cell_length_a 5.497
_cell_length_b 5.497
_cell_length_c 3.809
_cell_angle_alpha 90.00
_cell_angle_beta 90.00
_cell_angle_gamma 90.00
_symmetry_space_group_name_H-M 'P 4/m m m'
_symmetry_Int_Tables_number 123
_symmetry_space_group_name_Hall '-P 4 2'
loop_
_atom_site_label
_atom_site_fract_x
_atom_site_fract_y
_atom_site_fract_z
Ca1 0.000 0.000 0.000
Tl1 0.500 0.500 0.000
H1 0.500 0.500 0.500
Cl1 0.000 0.500 0.500

=====

No. 2
# Ac4As2F | the Alexandria database | PBE-GGA | relaxed
# Raw total energy: -5.15 eV/atom
# Raw formation energy: -1.2040 eV/atom
data_Ac4As2F
_chemical_formula_sum 'Ac8 As4 F2'
_cell_length_a 5.057
_cell_length_b 5.057
_cell_length_c 16.788
_cell_angle_alpha 90.00
_cell_angle_beta 90.00
_cell_angle_gamma 90.00
_symmetry_space_group_name_H-M 'I 4/m m m'
_symmetry_Int_Tables_number 139
_symmetry_space_group_name_Hall '-I 4 2'
loop_
_atom_site_label
_atom_site_fract_x
_atom_site_fract_y
_atom_site_fract_z
Ac1 0.000 0.000 0.182
Ac2 0.000 0.500 0.000
As1 0.000 0.000 0.372
F1 0.000 0.000 0.000

=====

No. 3
# BeCo2Se2 | the Alexandria database | PBE-GGA | relaxed
# Relative energy among the computed polymorphs: 75.9 meV per atom
# Raw total energy: -4.66 eV/atom
# Raw formation energy: 0.3239 eV/atom
data_BeCo2Se2
_chemical_formula_sum 'Be2 Co4 Se4'
_cell_length_a 4.665
_cell_length_b 4.665
_cell_length_c 6.790
_cell_angle_alpha 90.00
_cell_angle_beta 90.00
_cell_angle_gamma 90.00
_symmetry_space_group_name_H-M 'I 4/m m m'
_symmetry_Int_Tables_number 139
_symmetry_space_group_name_Hall '-I 4 2'
loop_
_atom_site_label
_atom_site_fract_x
_atom_site_fract_y
_atom_site_fract_z
Be1 0.000 0.000 0.000
Co1 0.000 0.000 0.325
Se1 0.000 0.500 0.250

=====

No. 4
# TlBiAu | the Alexandria database | PBE-GGA | relaxed
# Relative energy among the computed polymorphs: 40.1 meV per atom
# Energy of formation from the pure elements: 0.01 eV/atom
# Raw total energy: -3.16 eV/atom
data_TlBiAu
_chemical_formula_sum 'Tl4 Bi4 Au4'
_cell_length_a 7.012
_cell_length_b 7.012
_cell_length_c 7.012
_cell_angle_alpha 90.00
_cell_angle_beta 90.00
_cell_angle_gamma 90.00
_symmetry_space_group_name_H-M 'F -4 3 m'
_symmetry_Int_Tables_number 216
_symmetry_space_group_name_Hall 'F -4 2 3'
loop_
_atom_site_label
_atom_site_fract_x
_atom_site_fract_y
_atom_site_fract_z
Tl1 0.000 0.000 0.000
Bi1 0.000 0.000 0.500
Au1 0.250 0.250 0.250

=====

No. 5
# CaBeFe2 | the Alexandria database | PBE-GGA | relaxed
# Energy of formation from the pure elements: 0.73 eV/atom
# Raw total energy: -4.93 eV/atom
data_CaBeFe2
_chemical_formula_sum 'Ca2 Be2 Fe4'
_cell_length_a 5.344
_cell_length_b 8.270
_cell_length_c 2.632
_cell_angle_alpha 90.00
_cell_angle_beta 90.00
_cell_angle_gamma 90.00
_symmetry_space_group_name_H-M 'C m m m'
_symmetry_Int_Tables_number 65
_symmetry_space_group_name_Hall '-C 2 2'
loop_
_atom_site_label
_atom_site_fract_x
_atom_site_fract_y
_atom_site_fract_z
Ca1 0.000 0.000 0.000
Be1 0.000 0.500 0.000
Fe1 0.250 0.250 0.500

=====

No. 6
# HfZn | the Alexandria database | PBE-GGA | relaxed
# Energy of formation from the pure elements: 0.20 eV/atom
# Raw total energy: -5.41 eV/atom
data_HfZn
_chemical_formula_sum 'Hf8 Zn8'
_cell_length_a 8.446
_cell_length_b 8.446
_cell_length_c 4.576
_cell_angle_alpha 90.00
_cell_angle_beta 90.00
_cell_angle_gamma 90.00
_symmetry_space_group_name_H-M 'P 4/m'
_symmetry_Int_Tables_number 83
_symmetry_space_group_name_Hall '-P 4'
loop_
_atom_site_label
_atom_site_fract_x
_atom_site_fract_y
_atom_site_fract_z
Hf1 0.057 0.324 0.000
Hf2 0.139 0.799 0.500
Zn1 0.164 0.470 0.500
Zn2 0.290 0.598 0.000

=====

No. 7
# Ca4TePCl2 | the Alexandria database | PBE-GGA | relaxed
# Raw total energy: -4.13 eV/atom
# Raw formation energy: -1.6028 eV/atom
data_Ca4TePCl2
_chemical_formula_sum 'Ca4 Te1 P1 Cl2'
_cell_length_a 7.204
_cell_length_b 4.270
_cell_length_c 7.552
_cell_angle_alpha 90.00
_cell_angle_beta 110.49
_cell_angle_gamma 90.00
_symmetry_space_group_name_H-M 'P 1 2/m 1'
_symmetry_Int_Tables_number 10
_symmetry_space_group_name_Hall '-P 2y'
loop_
_atom_site_label
_atom_site_fract_x
_atom_site_fract_y
_atom_site_fract_z
Ca1 0.226 0.000 0.221
Ca2 0.238 0.500 0.775
Te1 0.000 0.000 0.500
P1 0.000 0.500 0.000
Cl1 0.500 0.000 0.000
Cl2 0.500 0.500 0.500

=====

No. 8
# In3Ge5O12 | the Alexandria database | PBE-GGA | relaxed
# Raw total energy: -5.77 eV/atom
# Raw formation energy: -1.2277 eV/atom
data_In3Ge5O12
_chemical_formula_sum 'In24 Ge40 O96'
_cell_length_a 12.760
_cell_length_b 12.760
_cell_length_c 12.760
_cell_angle_alpha 90.00
_cell_angle_beta 90.00
_cell_angle_gamma 90.00
_symmetry_space_group_name_H-M 'I a -3 d'
_symmetry_Int_Tables_number 230
_symmetry_space_group_name_Hall '-I 4bd 2c 3'
loop_
_atom_site_label
_atom_site_fract_x
_atom_site_fract_y
_atom_site_fract_z
In1 0.000 0.250 0.125
Ge1 0.000 0.000 0.000
Ge2 0.000 0.250 0.375
O1 0.036 0.041 0.646

=====

No. 9
# InOs2Br | the Alexandria database | PBE-GGA | relaxed
# Relative energy among the computed polymorphs: 370.6 meV per atom
# Raw total energy: -5.88 eV/atom
# Raw formation energy: 0.8381 eV/atom
data_InOs2Br
_chemical_formula_sum 'In2 Os4 Br2'
_cell_length_a 10.258
_cell_length_b 2.963
_cell_length_c 7.782
_cell_angle_alpha 90.00
_cell_angle_beta 125.09
_cell_angle_gamma 90.00
_symmetry_space_group_name_H-M 'C 1 2/m 1'
_symmetry_Int_Tables_number 12
_symmetry_space_group_name_Hall '-C 2y'
loop_
_atom_site_label
_atom_site_fract_x
_atom_site_fract_y
_atom_site_fract_z
In1 0.000 0.000 0.000
Os1 0.142 0.500 0.856
Br1 0.000 0.000 0.500

=====

No. 10
# ZnPt2Rh | the Alexandria database | PBE-GGA | relaxed
# Energy of formation from the pure elements: -0.31 eV/atom
# Raw total energy: -5.49 eV/atom
data_ZnPt2Rh
_chemical_formula_sum 'Zn2 Pt4 Rh2'
_cell_length_a 5.547
_cell_length_b 7.695
_cell_length_c 2.771
_cell_angle_alpha 90.00
_cell_angle_beta 90.00
_cell_angle_gamma 90.00
_symmetry_space_group_name_H-M 'C m m m'
_symmetry_Int_Tables_number 65
_symmetry_space_group_name_Hall '-C 2 2'
loop_
_atom_site_label
_atom_site_fract_x
_atom_site_fract_y
_atom_site_fract_z
Zn1 0.000 0.000 0.000
Pt1 0.250 0.250 0.500
Rh1 0.000 0.500 0.000

=====

No. 11
# Zn3CBr | the Alexandria database | PBE-GGA | relaxed
# Relative energy among the computed polymorphs: 0.0 meV per atom
# Raw total energy: -2.52 eV/atom
# Raw formation energy: 0.4250 eV/atom
data_Zn3CBr
_chemical_formula_sum 'Zn3 C1 Br1'
_cell_length_a 4.353
_cell_length_b 4.353
_cell_length_c 4.353
_cell_angle_alpha 90.00
_cell_angle_beta 90.00
_cell_angle_gamma 90.00
_symmetry_space_group_name_H-M 'P m -3 m'
_symmetry_Int_Tables_number 221
_symmetry_space_group_name_Hall '-P 4 2 3'
loop_
_atom_site_label
_atom_site_fract_x
_atom_site_fract_y
_atom_site_fract_z
Zn1 0.000 0.000 0.500
C1 0.000 0.000 0.000
Br1 0.500 0.500 0.500

=====

No. 12
# NaIn2Se3 | the Alexandria database | PBE-GGA | relaxed
# Raw total energy: -3.48 eV/atom
# Raw formation energy: -0.6068 eV/atom
data_NaIn2Se3
_chemical_formula_sum 'Na2 In4 Se6'
_cell_length_a 3.903
_cell_length_b 11.735
_cell_length_c 7.218
_cell_angle_alpha 90.00
_cell_angle_beta 90.00
_cell_angle_gamma 90.00
_symmetry_space_group_name_H-M 'P m c 21'
_symmetry_Int_Tables_number 26
_symmetry_space_group_name_Hall 'P 2c -2'
loop_
_atom_site_label
_atom_site_fract_x
_atom_site_fract_y
_atom_site_fract_z
Na1 0.000 0.095 0.000
In1 0.000 0.228 0.495
In2 0.500 0.443 0.986
Se1 0.000 0.428 0.685
Se2 0.500 0.101 0.658
Se3 0.500 0.257 0.222

=====

Number 1: D(E_F) 0.128 states/eV per atom. Number 2: D(E_F) 1.045 states/eV per atom. Number 3: D(E_F) 0.664 states/eV per atom. Number 4: D(E_F) 0.757 states/eV per atom. Number 5: D(E_F) 0.965 states/eV per atom. Number 6: D(E_F) 0.782 states/eV per atom. Number 7: D(E_F) 0.472 states/eV per atom. Number 8: D(E_F) 0.485 states/eV per atom. Number 9: D(E_F) 1.049 states/eV per atom. Number 10: D(E_F) 0.980 states/eV per atom. Number 11: D(E_F) 0.402 states/eV per atom. Number 12: D(E_F) 0.111 states/eV per atom.